6
Lattice="0.0000 4.2126 4.2126 4.2126 0.0000 4.2126 4.2126 4.2126 0.0000" Properties=species:S:1:pos:R:3 comment="Mg4SnPb | Alexandria via LeMat-Bulk | PBE | relaxed" dft_energy_ev_per_atom=-2.305 spacegroup=F-43m polymorph_energy_mev_per_atom=167 formation_enthalpy_0k_kj_per_mol_atoms=4.1 pbc="T T T"
Mg 1.0550 1.0550 1.0550
Mg 3.1576 3.1576 1.0550
Mg 3.1576 1.0550 3.1576
Mg 1.0550 3.1576 3.1576
Sn 4.2126 4.2126 4.2126
Pb 6.3189 6.3189 6.3189

***

16
Lattice="4.5488 0.0000 0.0000 0.0000 4.5488 0.0000 0.0000 0.0000 18.2210" Properties=species:S:1:pos:R:3 comment="Mg12SnPb3 | Alexandria via LeMat-Bulk | PBE | relaxed" dft_energy_ev_per_atom=-2.216 spacegroup=P4/mmm formation_enthalpy_0k_kj_per_mol_atoms=-7.2 pbc="T T T"
Mg 0.0000 0.0000 0.0000
Mg 0.0000 0.0000 4.5136
Mg 0.0000 0.0000 9.1105
Mg 0.0000 0.0000 13.7074
Mg 0.0000 2.2744 2.2158
Mg 0.0000 2.2744 6.8030
Mg 0.0000 2.2744 11.4180
Mg 0.0000 2.2744 16.0052
Mg 2.2744 0.0000 2.2158
Mg 2.2744 0.0000 6.8030
Mg 2.2744 0.0000 11.4180
Mg 2.2744 0.0000 16.0052
Sn 2.2744 2.2744 0.0000
Pb 2.2744 2.2744 4.5290
Pb 2.2744 2.2744 9.1105
Pb 2.2744 2.2744 13.6920

***

15
Lattice="-2.4385 2.4385 17.1543 2.4385 -2.4385 17.1543 2.4385 2.4385 -17.1543" Properties=species:S:1:pos:R:3 comment="Mg10SnPb4 | Alexandria via LeMat-Bulk | PBE | relaxed" dft_energy_ev_per_atom=-2.403 spacegroup=I4/mmm formation_enthalpy_0k_kj_per_mol_atoms=-8.1 pbc="T T T"
Mg 2.4385 0.0000 1.6802
Mg 2.4385 0.0000 5.1263
Mg 2.4385 0.0000 8.5771
Mg 2.4385 0.0000 12.0280
Mg 2.4385 0.0000 15.4740
Mg 0.0000 2.4385 1.6802
Mg 0.0000 2.4385 5.1263
Mg 0.0000 2.4385 8.5771
Mg 0.0000 2.4385 12.0280
Mg 0.0000 2.4385 15.4740
Sn 0.0000 0.0000 0.0000
Pb 0.0000 0.0000 6.8528
Pb 0.0000 0.0000 13.7483
Pb 0.0000 0.0000 20.5603
Pb 0.0000 0.0000 27.4558

***

4
Lattice="4.8425 0.0000 0.0000 0.0000 4.8425 0.0000 0.0000 0.0000 4.8244" Properties=species:S:1:pos:R:3 comment="MgSnPb2 | Alexandria via LeMat-Bulk | PBE | relaxed" dft_energy_ev_per_atom=-3.247 spacegroup=P4/mmm polymorph_energy_mev_per_atom=0 formation_enthalpy_0k_kj_per_mol_atoms=0.6 pbc="T T T"
Mg 0.0000 0.0000 0.0000
Sn 2.4213 2.4213 0.0000
Pb 0.0000 2.4213 2.4122
Pb 2.4213 0.0000 2.4122

***

15
Lattice="-5.7056 5.7056 3.6267 5.7056 -5.7056 3.6267 5.7056 5.7056 -3.6267" Properties=species:S:1:pos:R:3 comment="Mg4SnPb10 | Alexandria via LeMat-Bulk | PBE | relaxed" dft_energy_ev_per_atom=-3.124 spacegroup=I4/m formation_enthalpy_0k_kj_per_mol_atoms=3.9 pbc="T T T"
Mg 3.4379 1.1187 0.0000
Mg 4.5869 -2.2677 3.6267
Mg 1.1187 7.9733 0.0000
Mg 2.2677 4.5869 3.6267
Sn 0.0000 0.0000 3.6267
Pb 4.5403 3.3757 -1.8373
Pb 2.3299 -1.1654 1.7894
Pb 5.7056 0.0000 1.8133
Pb 3.3757 6.8710 -1.8373
Pb 1.1654 2.3299 1.7894
Pb 4.5403 3.3757 1.8373
Pb 2.3299 -1.1654 5.4640
Pb 0.0000 5.7056 1.8133
Pb 3.3757 6.8710 1.8373
Pb 1.1654 2.3299 5.4640

***

16
Lattice="6.4263 0.0000 0.0000 0.0000 6.4263 0.0000 0.0000 0.0000 9.0397" Properties=species:S:1:pos:R:3 comment="Mg14SnPb | Alexandria via LeMat-Bulk | PBE | relaxed" dft_energy_ev_per_atom=-1.913 spacegroup=P4/mmm formation_enthalpy_0k_kj_per_mol_atoms=-3.5 pbc="T T T"
Mg 0.0000 0.0000 0.0000
Mg 0.0000 3.2132 0.0000
Mg 0.0000 3.2132 4.5198
Mg 1.5960 1.5960 2.2082
Mg 1.5960 1.5960 6.8314
Mg 1.5960 4.8303 2.2082
Mg 1.5960 4.8303 6.8314
Mg 3.2132 0.0000 0.0000
Mg 3.2132 0.0000 4.5198
Mg 3.2132 3.2132 0.0000
Mg 4.8303 1.5960 2.2082
Mg 4.8303 1.5960 6.8314
Mg 4.8303 4.8303 2.2082
Mg 4.8303 4.8303 6.8314
Sn 0.0000 0.0000 4.5198
Pb 3.2132 3.2132 4.5198